1.
Entry from Alexandria: an optimized crystal structure of RbBi2PC (PBE-GGA).

Output
DOS(E_F) in states/eV/atom: 0.7019
Calculated density in g/cm³: 6.25
ΔH_f (0 K) in eV per atom: 0.910
Volume in Å³ per atom: 29.02

```
data_RbBi2PC
_chemical_formula_sum 'Rb1 Bi2 P1 C1'
_space_group_name_H-M_alt 'P 4/m m m'
_space_group_IT_number 123
_space_group_name_Hall '-P 4 2'
_cell_length_a 6.447
_cell_length_b 6.447
_cell_length_c 3.490
_cell_angle_alpha 90.00
_cell_angle_beta 90.00
_cell_angle_gamma 90.00
loop_
_atom_site_label
_atom_site_fract_x
_atom_site_fract_y
_atom_site_fract_z
_atom_site_occupancy
Rb1 0.000 0.000 0.000 1
Bi1 0.000 0.500 0.500 1
P1 0.500 0.500 0.000 1
C1 0.500 0.500 0.500 1
```



2.
Entry from Alexandria: an optimized crystal structure of Cd2GaAg2 (PBE-GGA).

Output
DOS(E_F) in states/eV/atom: 0.3008
Calculated density in g/cm³: 8.06
ΔH_f (0 K) in eV per atom: 0.065
Volume in Å³ per atom: 21.02
Excess energy over the best structure of this formula in the dataset in eV per atom: 0.0547

```
data_Cd2GaAg2
_chemical_formula_sum 'Cd4 Ga2 Ag4'
_space_group_name_H-M_alt 'P 4/m b m'
_space_group_IT_number 127
_space_group_name_Hall '-P 4 2ab'
_cell_length_a 8.397
_cell_length_b 8.397
_cell_length_c 2.980
_cell_angle_alpha 90.00
_cell_angle_beta 90.00
_cell_angle_gamma 90.00
loop_
_atom_site_label
_atom_site_fract_x
_atom_site_fract_y
_atom_site_fract_z
_atom_site_occupancy
Cd1 0.129 0.371 0.000 1
Ga1 0.000 0.000 0.000 1
Ag1 0.170 0.670 0.500 1
```



3.
Entry from Alexandria: an optimized crystal structure of LiZnSnBi (PBE-GGA).

Output
DOS(E_F) in states/eV/atom: 0.5233
Calculated density in g/cm³: 7.17
ΔH_f (0 K) in eV per atom: -0.055
Volume in Å³ per atom: 23.17

```
data_LiZnSnBi
_chemical_formula_sum 'Li4 Zn4 Sn4 Bi4'
_space_group_name_H-M_alt 'F -4 3 m'
_space_group_IT_number 216
_space_group_name_Hall 'F -4 2 3'
_cell_length_a 7.184
_cell_length_b 7.184
_cell_length_c 7.184
_cell_angle_alpha 90.00
_cell_angle_beta 90.00
_cell_angle_gamma 90.00
loop_
_atom_site_label
_atom_site_fract_x
_atom_site_fract_y
_atom_site_fract_z
_atom_site_occupancy
Li1 0.000 0.000 0.000 1
Zn1 0.000 0.000 0.500 1
Sn1 0.250 0.250 0.250 1
Bi1 0.250 0.250 0.750 1
```



4.
Entry from Alexandria: an optimized crystal structure of SiAg2AuSe4 (PBE-GGA).

Output
Raw formation energy in meV per atom: -165
DOS(E_F) in states/eV/atom: 0.8007
Calculated density in g/cm³: 6.13
Volume in Å³ per atom: 25.62

```
data_SiAg2AuSe4
_chemical_formula_sum 'Si4 Ag8 Au4 Se16'
_space_group_name_H-M_alt 'F m m 2'
_space_group_IT_number 42
_space_group_name_Hall 'F 2 -2'
_cell_length_a 8.331
_cell_length_b 8.333
_cell_length_c 11.812
_cell_angle_alpha 90.00
_cell_angle_beta 90.00
_cell_angle_gamma 90.00
loop_
_atom_site_label
_atom_site_fract_x
_atom_site_fract_y
_atom_site_fract_z
_atom_site_occupancy
Si1 0.000 0.000 0.000 1
Ag1 0.250 0.250 0.250 1
Au1 0.000 0.000 0.501 1
Se1 0.000 0.228 0.887 1
Se2 0.227 0.000 0.113 1
```



5.
Entry from Alexandria: an optimized crystal structure of RbSn3 (PBE-GGA).

Output
DOS(E_F) in states/eV/atom: 0.5010
Calculated density in g/cm³: 4.84
ΔH_f (0 K) in eV per atom: 0.206
Volume in Å³ per atom: 37.90

```
data_RbSn3
_chemical_formula_sum 'Rb2 Sn6'
_space_group_name_H-M_alt 'I 4/m m m'
_space_group_IT_number 139
_space_group_name_Hall '-I 4 2'
_cell_length_a 4.887
_cell_length_b 4.887
_cell_length_c 12.694
_cell_angle_alpha 90.00
_cell_angle_beta 90.00
_cell_angle_gamma 90.00
loop_
_atom_site_label
_atom_site_fract_x
_atom_site_fract_y
_atom_site_fract_z
_atom_site_occupancy
Rb1 0.000 0.000 0.000 1
Sn1 0.000 0.000 0.279 1
Sn2 0.000 0.000 0.500 1
```



6.
Entry from Alexandria: an optimized crystal structure of Sc2MoRh2 (PBE-GGA).

Output
DOS(E_F) in states/eV/atom: 1.1309
Calculated density in g/cm³: 7.54
ΔH_f (0 K) in eV per atom: -0.315
Volume in Å³ per atom: 17.26

```
data_Sc2MoRh2
_chemical_formula_sum 'Sc4 Mo2 Rh4'
_space_group_name_H-M_alt 'P 4/m b m'
_space_group_IT_number 127
_space_group_name_Hall '-P 4 2ab'
_cell_length_a 7.446
_cell_length_b 7.446
_cell_length_c 3.113
_cell_angle_alpha 90.00
_cell_angle_beta 90.00
_cell_angle_gamma 90.00
loop_
_atom_site_label
_atom_site_fract_x
_atom_site_fract_y
_atom_site_fract_z
_atom_site_occupancy
Sc1 0.164 0.336 0.000 1
Mo1 0.000 0.000 0.500 1
Rh1 0.136 0.636 0.500 1
```



7.
Entry from Alexandria: an optimized crystal structure of LiSm2BiO6 (PBE-GGA).

Output
Raw formation energy in meV per atom: -2301
DOS(E_F) in states/eV/atom: 0.0000
Calculated density in g/cm³: 7.05
Volume in Å³ per atom: 14.43

```
data_LiSm2BiO6
_chemical_formula_sum 'Li3 Sm6 Bi3 O18'
_space_group_name_H-M_alt 'R 3'
_space_group_IT_number 146
_space_group_name_Hall 'R 3'
_cell_length_a 5.7742
_cell_length_b 5.7742
_cell_length_c 14.9941
_cell_angle_alpha 90.00
_cell_angle_beta 90.00
_cell_angle_gamma 120.00
loop_
_atom_site_label
_atom_site_fract_x
_atom_site_fract_y
_atom_site_fract_z
_atom_site_occupancy
Li1 0.0000 0.0000 0.0000 1
Sm1 0.0000 0.0000 0.2667 1
Sm2 0.0000 0.0000 0.7672 1
Bi1 0.0000 0.0000 0.4813 1
O1 0.0545 0.3454 0.5497 1
O2 0.0619 0.6940 0.0530 1
```



8.
Entry from Alexandria: an optimized crystal structure of ZrTa2Ni (PBE-GGA).

Output
DOS(E_F) in states/eV/atom: 0.9340
Calculated density in g/cm³: 12.26
ΔH_f (0 K) in eV per atom: 0.020
Volume in Å³ per atom: 17.33
Excess energy over the best structure of this formula in the dataset in eV per atom: 0.0892

```
data_ZrTa2Ni
_chemical_formula_sum 'Zr4 Ta8 Ni4'
_space_group_name_H-M_alt 'F -4 3 m'
_space_group_IT_number 216
_space_group_name_Hall 'F -4 2 3'
_cell_length_a 6.521
_cell_length_b 6.521
_cell_length_c 6.521
_cell_angle_alpha 90.00
_cell_angle_beta 90.00
_cell_angle_gamma 90.00
loop_
_atom_site_label
_atom_site_fract_x
_atom_site_fract_y
_atom_site_fract_z
_atom_site_occupancy
Zr1 0.000 0.000 0.000 1
Ta1 0.000 0.000 0.500 1
Ta2 0.250 0.250 0.250 1
Ni1 0.250 0.250 0.750 1
```



9.
Entry from Alexandria: an optimized crystal structure of RbCoOs (PBE-GGA).

Output
DOS(E_F) in states/eV/atom: 0.9870
Calculated density in g/cm³: 6.05
ΔH_f (0 K) in eV per atom: 1.206
Volume in Å³ per atom: 30.59
Excess energy over the best structure of this formula in the dataset in eV per atom: 0.5538

```
data_RbCoOs
_chemical_formula_sum 'Rb4 Co4 Os4'
_space_group_name_H-M_alt 'P n m a'
_space_group_IT_number 62
_cell_length_a 10.680
_cell_length_b 4.102
_cell_length_c 8.379
_cell_angle_alpha 90.00
_cell_angle_beta 90.00
_cell_angle_gamma 90.00
loop_
_space_group_symop_operation_xyz
'x,y,z'
'-x,-y,-z'
'-x+1/2,-y,z+1/2'
'x+1/2,y,-z+1/2'
'x+1/2,-y+1/2,-z+1/2'
'-x+1/2,y+1/2,z+1/2'
'-x,y+1/2,-z'
'x,-y+1/2,z'
loop_
_atom_site_label
_atom_site_fract_x
_atom_site_fract_y
_atom_site_fract_z
_atom_site_occupancy
Rb1 0.202 0.250 0.012 1
Co1 0.039 0.250 0.655 1
Os1 0.041 0.250 0.382 1
```



10.
Entry from Alexandria: an optimized crystal structure of Cs2Sc2Os (PBE-GGA).

Output
DOS(E_F) in states/eV/atom: 0.7086
Calculated density in g/cm³: 5.21
ΔH_f (0 K) in eV per atom: 0.546
Volume in Å³ per atom: 34.81
Excess energy over the best structure of this formula in the dataset in eV per atom: 0.0000

```
data_Cs2Sc2Os
_chemical_formula_sum 'Cs4 Sc4 Os2'
_space_group_name_H-M_alt 'P 4/m b m'
_space_group_IT_number 127
_space_group_name_Hall '-P 4 2ab'
_cell_length_a 7.029
_cell_length_b 7.029
_cell_length_c 7.044
_cell_angle_alpha 90.00
_cell_angle_beta 90.00
_cell_angle_gamma 90.00
loop_
_atom_site_label
_atom_site_fract_x
_atom_site_fract_y
_atom_site_fract_z
_atom_site_occupancy
Cs1 0.193 0.307 0.000 1
Sc1 0.189 0.689 0.500 1
Os1 0.000 0.000 0.500 1
```



11.
Entry from Alexandria: an optimized crystal structure of CaLaHg2 (PBE-GGA).

Output
DOS(E_F) in states/eV/atom: 1.5622
Calculated density in g/cm³: 7.24
ΔH_f (0 K) in eV per atom: -0.219
Volume in Å³ per atom: 33.28
Excess energy over the best structure of this formula in the dataset in eV per atom: 0.3491

```
data_CaLaHg2
_chemical_formula_sum 'Ca4 La4 Hg8'
_space_group_name_H-M_alt 'I -4 2 d'
_space_group_IT_number 122
_space_group_name_Hall 'I -4 2bw'
_cell_length_a 8.324
_cell_length_b 8.324
_cell_length_c 7.685
_cell_angle_alpha 90.00
_cell_angle_beta 90.00
_cell_angle_gamma 90.00
loop_
_atom_site_label
_atom_site_fract_x
_atom_site_fract_y
_atom_site_fract_z
_atom_site_occupancy
Ca1 0.000 0.000 0.000 1
La1 0.000 0.000 0.500 1
Hg1 0.243 0.250 0.125 1
```



12.
Entry from Alexandria: an optimized crystal structure of Sm2CdIn2Rh5 (PBE-GGA).

Output
DOS(E_F) in states/eV/atom: 0.5753
Calculated density in g/cm³: 9.82
ΔH_f (0 K) in eV per atom: -0.378
Volume in Å³ per atom: 19.57

```
data_Sm2CdIn2Rh5
_chemical_formula_sum 'Sm4 Cd2 In4 Rh10'
_space_group_name_H-M_alt 'P 4/m b m'
_space_group_IT_number 127
_space_group_name_Hall '-P 4 2ab'
_cell_length_a 10.215
_cell_length_b 10.215
_cell_length_c 3.751
_cell_angle_alpha 90.00
_cell_angle_beta 90.00
_cell_angle_gamma 90.00
loop_
_atom_site_label
_atom_site_fract_x
_atom_site_fract_y
_atom_site_fract_z
_atom_site_occupancy
Sm1 0.171 0.329 0.000 1
Cd1 0.000 0.000 0.000 1
In1 0.128 0.628 0.000 1
Rh1 0.000 0.500 0.500 1
Rh2 0.055 0.799 0.500 1
```



13.
Entry from Alexandria: an optimized crystal structure of BeCuN2O (PBE-GGA).

Output
Raw formation energy in meV per atom: 1578
DOS(E_F) in states/eV/atom: 1.3133
Calculated density in g/cm³: 3.77
Volume in Å³ per atom: 10.26

```
data_BeCuN2O
_chemical_formula_sum 'Be1 Cu1 N2 O1'
_space_group_name_H-M_alt 'P 4/m m m'
_space_group_IT_number 123
_space_group_name_Hall '-P 4 2'
_cell_length_a 3.655
_cell_length_b 3.655
_cell_length_c 3.840
_cell_angle_alpha 90.00
_cell_angle_beta 90.00
_cell_angle_gamma 90.00
loop_
_atom_site_label
_atom_site_fract_x
_atom_site_fract_y
_atom_site_fract_z
_atom_site_occupancy
Be1 0.000 0.000 0.000 1
Cu1 0.500 0.500 0.500 1
N1 0.000 0.500 0.500 1
O1 0.500 0.500 0.000 1
```



14.
Entry from Alexandria: an optimized crystal structure of BaY2InIr (PBE-GGA).

Output
DOS(E_F) in states/eV/atom: 0.5385
Calculated density in g/cm³: 6.44
ΔH_f (0 K) in eV per atom: -0.337
Volume in Å³ per atom: 32.10

```
data_BaY2InIr
_chemical_formula_sum 'Ba1 Y2 In1 Ir1'
_space_group_name_H-M_alt 'P 4/m m m'
_space_group_IT_number 123
_space_group_name_Hall '-P 4 2'
_cell_length_a 5.463
_cell_length_b 5.463
_cell_length_c 5.379
_cell_angle_alpha 90.00
_cell_angle_beta 90.00
_cell_angle_gamma 90.00
loop_
_atom_site_label
_atom_site_fract_x
_atom_site_fract_y
_atom_site_fract_z
_atom_site_occupancy
Ba1 0.000 0.000 0.000 1
Y1 0.000 0.500 0.500 1
In1 0.500 0.500 0.000 1
Ir1 0.500 0.500 0.500 1
```



15.
Entry from Alexandria: an optimized crystal structure of Ti2FeBr (PBE-GGA).

Output
Raw formation energy in meV per atom: 399
DOS(E_F) in states/eV/atom: 0.6239
Calculated density in g/cm³: 4.41
Volume in Å³ per atom: 21.81
Excess energy over the best structure of this formula in the dataset in eV per atom: 0.0569

```
data_Ti2FeBr
_chemical_formula_sum 'Ti8 Fe4 Br4'
_space_group_name_H-M_alt 'I -4 2 d'
_space_group_IT_number 122
_space_group_name_Hall 'I -4 2bw'
_cell_length_a 5.606
_cell_length_b 5.606
_cell_length_c 11.102
_cell_angle_alpha 90.00
_cell_angle_beta 90.00
_cell_angle_gamma 90.00
loop_
_atom_site_label
_atom_site_fract_x
_atom_site_fract_y
_atom_site_fract_z
_atom_site_occupancy
Ti1 0.181 0.250 0.125 1
Fe1 0.000 0.000 0.000 1
Br1 0.000 0.000 0.500 1
```



16.
Entry from Alexandria: an optimized crystal structure of Zn2CuSi (PBE-GGA).

Output
Raw formation energy in meV per atom: 109
DOS(E_F) in states/eV/atom: 0.2074
Calculated density in g/cm³: 6.44
Volume in Å³ per atom: 14.34

```
data_Zn2CuSi
_chemical_formula_sum 'Zn4 Cu2 Si2'
_space_group_name_H-M_alt 'C m m m'
_space_group_IT_number 65
_space_group_name_Hall '-C 2 2'
_cell_length_a 4.950
_cell_length_b 7.395
_cell_length_c 3.134
_cell_angle_alpha 90.00
_cell_angle_beta 90.00
_cell_angle_gamma 90.00
loop_
_atom_site_label
_atom_site_fract_x
_atom_site_fract_y
_atom_site_fract_z
_atom_site_occupancy
Zn1 0.250 0.250 0.000 1
Cu1 0.000 0.000 0.500 1
Si1 0.000 0.500 0.500 1
```



17.
Entry from Alexandria: an optimized crystal structure of Tb12Nd2Zr (PBE-GGA).

Output
DOS(E_F) in states/eV/atom: 1.4982
Calculated density in g/cm³: 7.87
ΔH_f (0 K) in eV per atom: 0.144
Volume in Å³ per atom: 32.18

```
data_Tb12Nd2Zr
_chemical_formula_sum 'Tb48 Nd8 Zr4'
_space_group_name_H-M_alt 'C 1 2/m 1'
_space_group_IT_number 12
_cell_length_a 7.092
_cell_length_b 11.363
_cell_length_c 24.138
_cell_angle_alpha 90.00
_cell_angle_beta 96.97
_cell_angle_gamma 90.00
loop_
_space_group_symop_operation_xyz
'x,y,z'
'-x,-y,-z'
'-x,y,-z'
'x,-y,z'
'x+1/2,y+1/2,z'
'-x+1/2,-y+1/2,-z'
'-x+1/2,y+1/2,-z'
'x+1/2,-y+1/2,z'
loop_
_atom_site_label
_atom_site_fract_x
_atom_site_fract_y
_atom_site_fract_z
_atom_site_occupancy
Tb1 0.011 0.250 0.306 1
Tb2 0.012 0.000 0.382 1
Tb3 0.016 0.500 0.380 1
Tb4 0.056 0.248 0.826 1
Tb5 0.088 0.500 0.921 1
Tb6 0.102 0.000 0.929 1
Tb7 0.148 0.245 0.056 1
Tb8 0.172 0.254 0.564 1
Nd1 0.217 0.500 0.235 1
Nd2 0.223 0.000 0.233 1
Zr1 0.229 0.000 0.503 1
```



18.
Entry from Alexandria: an optimized crystal structure of LiNdHoTc (PBE-GGA).

Output
DOS(E_F) in states/eV/atom: 0.9461
Calculated density in g/cm³: 7.82
ΔH_f (0 K) in eV per atom: 0.022
Volume in Å³ per atom: 22.00

```
data_LiNdHoTc
_chemical_formula_sum 'Li4 Nd4 Ho4 Tc4'
_space_group_name_H-M_alt 'F -4 3 m'
_space_group_IT_number 216
_space_group_name_Hall 'F -4 2 3'
_cell_length_a 7.060
_cell_length_b 7.060
_cell_length_c 7.060
_cell_angle_alpha 90.00
_cell_angle_beta 90.00
_cell_angle_gamma 90.00
loop_
_atom_site_label
_atom_site_fract_x
_atom_site_fract_y
_atom_site_fract_z
_atom_site_occupancy
Li1 0.000 0.000 0.000 1
Nd1 0.250 0.250 0.750 1
Ho1 0.250 0.250 0.250 1
Tc1 0.000 0.000 0.500 1
```



19.
Entry from Alexandria: an optimized crystal structure of Li2B3C3 (PBE-GGA).

Output
DOS(E_F) in states/eV/atom: 0.3472
Calculated density in g/cm³: 1.97
ΔH_f (0 K) in eV per atom: -0.177
Volume in Å³ per atom: 8.66
Excess energy over the best structure of this formula in the dataset in eV per atom: 0.0008

```
data_Li2B3C3
_chemical_formula_sum 'Li4 B6 C6'
_space_group_name_H-M_alt 'P 63/m c m'
_space_group_IT_number 193
_space_group_name_Hall '-P 6c 2'
_cell_length_a 4.7041
_cell_length_b 4.7041
_cell_length_c 7.2333
_cell_angle_alpha 90.00
_cell_angle_beta 90.00
_cell_angle_gamma 120.00
loop_
_atom_site_label
_atom_site_fract_x
_atom_site_fract_y
_atom_site_fract_z
_atom_site_occupancy
Li1 0.3333 0.6667 0.0000 1
B1 0.0000 0.3299 0.2500 1
C1 0.0000 0.3367 0.7500 1
```



20.
Entry from Alexandria: an optimized crystal structure of Ce2CF2 (PBE-GGA).

Output
Raw formation energy in meV per atom: -2083
DOS(E_F) in states/eV/atom: 1.6975
Calculated density in g/cm³: 5.46
Volume in Å³ per atom: 20.09
Excess energy over the best structure of this formula in the dataset in eV per atom: 0.0000

```
data_Ce2CF2
_chemical_formula_sum 'Ce8 C4 F8'
_space_group_name_H-M_alt 'P 1 21/c 1'
_space_group_IT_number 14
_cell_length_a 8.592
_cell_length_b 7.368
_cell_length_c 6.425
_cell_angle_alpha 90.00
_cell_angle_beta 98.87
_cell_angle_gamma 90.00
loop_
_space_group_symop_operation_xyz
'x,y,z'
'-x,-y,-z'
'-x,y+1/2,-z+1/2'
'x,-y+1/2,z+1/2'
loop_
_atom_site_label
_atom_site_fract_x
_atom_site_fract_y
_atom_site_fract_z
_atom_site_occupancy
Ce1 0.011 0.129 0.292 1
Ce2 0.335 0.635 0.639 1
C1 0.164 0.663 0.913 1
F1 0.152 0.101 0.961 1
F2 0.498 0.152 0.151 1
```